YCu2BRu: relaxed, GGA-PBE.

POSCAR file:
```
YCu2BRu
1.0
-0.0760 2.5941 -3.1945
-3.2713 1.9003 1.6210
2.5896 2.6648 2.1023
Y Ru B Cu
1 1 1 2
direct
0.5000 0.5000 0.5000
0.0000 0.0000 0.5000
0.0000 0.0000 0.0000
0.0000 0.5000 0.0000
0.5000 0.0000 0.0000
```

Fermi-level density of states, states/eV/cell: 3.2
Total magnetization, μB/atom: 0.000
E_tot, eV per atom: -6.27